1.
This record from Alexandria via LeMat-Bulk describes a relaxed SrPa6S8 crystal. The functional is GGA-PBE.

Values from the calculation:
Raw total energy = -7.29 eV per atom

The structure in POSCAR format:
```
SrPa6S8
1.0
-0.723 6.874 2.790
-2.029 -2.986 6.522
7.175 -0.188 2.013
Sr Pa S
1 6 8
direct
0.000 0.000 0.000
0.579 0.428 0.797
0.428 0.797 0.579
0.797 0.579 0.428
0.421 0.572 0.203
0.572 0.203 0.421
0.203 0.421 0.572
0.756 0.756 0.756
0.244 0.244 0.244
0.642 0.874 0.266
0.874 0.266 0.642
0.266 0.642 0.874
0.358 0.126 0.734
0.126 0.734 0.358
0.734 0.358 0.126
```

2.
This record from Alexandria via LeMat-Bulk describes a relaxed SrPaS3 crystal. The functional is GGA-PBE.

Values from the calculation:
Raw total energy = -6.53 eV per atom

The structure in POSCAR format:
```
SrPaS3
1.0
-2.615 -3.243 0.325
0.711 0.097 6.686
-6.870 5.604 0.650
Sr Pa S
2 2 6
direct
0.750 0.250 0.136
0.250 0.750 0.864
0.750 0.750 0.393
0.250 0.250 0.607
0.750 0.750 0.091
0.250 0.250 0.909
0.750 0.986 0.654
0.750 0.514 0.654
0.250 0.014 0.346
0.250 0.486 0.346
```

3.
This record from Alexandria via LeMat-Bulk describes a relaxed Sr2PaS6 crystal. The functional is GGA-PBE.

Values from the calculation:
Raw total energy = -5.33 eV per atom

The structure in POSCAR format:
```
Sr2PaS6
1.0
6.686 0.000 0.000
0.000 6.686 0.000
0.000 0.000 13.081
Sr Pa S
4 2 12
direct
0.500 0.500 0.329
0.500 0.500 0.671
0.000 0.000 0.171
0.000 0.000 0.829
0.500 0.500 0.000
0.000 0.000 0.500
0.690 0.690 0.146
0.690 0.690 0.854
0.724 0.724 0.500
0.776 0.224 0.000
0.810 0.190 0.354
0.810 0.190 0.646
0.190 0.810 0.354
0.190 0.810 0.646
0.224 0.776 0.000
0.276 0.276 0.500
0.310 0.310 0.146
0.310 0.310 0.854
```

4.
This record from Alexandria via LeMat-Bulk describes a relaxed Sr3Pa2S8 crystal. The functional is GGA-PBE.

Values from the calculation:
Raw total energy = -6.15 eV per atom

The structure in POSCAR format:
```
Sr3Pa2S8
1.0
6.969 -0.016 2.102
1.343 7.096 4.090
0.058 -0.069 8.300
Sr Pa S
3 2 8
direct
0.500 0.000 0.000
0.000 0.254 0.746
0.000 0.746 0.254
0.966 0.255 0.255
0.034 0.745 0.745
0.817 0.642 0.642
0.183 0.358 0.358
0.768 0.133 0.133
0.232 0.867 0.867
0.790 0.627 0.085
0.790 0.085 0.627
0.210 0.915 0.373
0.210 0.373 0.915
```

5.
This record from Alexandria via LeMat-Bulk describes a relaxed Sr2Pa3S8 crystal. The functional is GGA-PBE.

Values from the calculation:
Raw total energy = -6.75 eV per atom

The structure in POSCAR format:
```
Sr2Pa3S8
1.0
6.866 0.000 0.161
0.000 8.220 0.000
-2.587 -4.110 6.748
Sr Pa S
2 3 8
direct
0.344 0.271 0.543
0.656 0.729 0.457
0.500 0.000 0.000
0.000 0.255 0.000
0.000 0.745 0.000
0.942 0.610 0.221
0.058 0.390 0.779
0.915 0.106 0.212
0.085 0.894 0.788
0.597 0.661 0.771
0.597 0.110 0.771
0.403 0.890 0.229
0.403 0.339 0.229
```

6.
This record from Alexandria via LeMat-Bulk describes a relaxed Sr2TbPaS6 crystal. The functional is GGA-PBE.

Values from the calculation:
Raw total energy = -6.18 eV per atom

The structure in POSCAR format:
```
Sr2TbPaS6
1.0
-4.305 -5.224 1.743
3.113 -4.314 -5.240
6.761 -3.391 6.808
Sr Tb Pa S
4 2 2 12
direct
0.027 0.921 0.252
0.527 0.579 0.752
0.973 0.079 0.748
0.473 0.421 0.248
0.500 0.000 0.000
0.000 0.500 0.500
0.500 0.000 0.500
0.000 0.500 0.000
0.304 0.691 0.060
0.804 0.809 0.560
0.696 0.309 0.940
0.196 0.191 0.440
0.314 0.701 0.437
0.814 0.799 0.937
0.686 0.299 0.563
0.186 0.201 0.063
0.883 0.538 0.246
0.383 0.962 0.746
0.117 0.462 0.754
0.617 0.038 0.254
```

7.
This record from Alexandria via LeMat-Bulk describes a relaxed SrThPa2S8 crystal. The functional is GGA-PBE.

Values from the calculation:
Raw total energy = -6.77 eV per atom

The structure in POSCAR format:
```
SrThPa2S8
1.0
6.467 0.044 -0.004
0.114 6.307 -0.007
0.006 0.010 8.448
Sr Th Pa S
1 1 2 8
direct
0.000 0.000 0.500
0.000 0.000 0.000
0.500 0.500 0.749
0.500 0.500 0.251
0.177 0.757 0.235
0.659 0.713 0.000
0.823 0.243 0.235
0.823 0.243 0.765
0.341 0.287 0.000
0.177 0.757 0.765
0.643 0.707 0.500
0.357 0.293 0.500
```

8.
This record from Alexandria via LeMat-Bulk describes a relaxed Sr2PaTiS6 crystal. The functional is GGA-PBE.

Values from the calculation:
Raw total energy = -6.18 eV per atom

The structure in POSCAR format:
```
Sr2PaTiS6
1.0
-0.830 2.798 4.465
-5.121 -4.453 1.839
4.692 -4.001 3.379
Sr Pa Ti S
2 1 1 6
direct
0.032 0.500 0.000
0.032 0.000 0.500
0.659 0.500 0.500
0.599 0.000 0.000
0.695 0.240 0.240
0.695 0.240 0.760
0.166 0.500 0.500
0.180 0.000 0.000
0.695 0.760 0.760
0.695 0.760 0.240
```

9.
This record from Alexandria via LeMat-Bulk describes a relaxed SrPa2TiS8 crystal. The functional is GGA-PBE.

Values from the calculation:
Raw total energy = -6.59 eV per atom

The structure in POSCAR format:
```
SrPa2TiS8
1.0
-5.775 1.570 2.004
-2.468 -4.784 -2.661
1.174 -4.413 6.843
Sr Pa Ti S
1 2 1 8
direct
0.000 0.000 0.500
0.500 0.500 0.756
0.500 0.500 0.244
0.000 0.000 0.000
0.168 0.772 0.206
0.674 0.729 0.000
0.832 0.228 0.206
0.832 0.228 0.794
0.326 0.271 0.000
0.168 0.772 0.794
0.634 0.721 0.500
0.366 0.279 0.500
```

10.
This record from Alexandria via LeMat-Bulk describes a relaxed Sr2TmPaS6 crystal. The functional is GGA-PBE.

Values from the calculation:
Raw total energy = -6.17 eV per atom

The structure in POSCAR format:
```
Sr2TmPaS6
1.0
6.958 0.000 -0.052
0.000 7.415 0.000
-0.012 0.000 10.115
Sr Tm Pa S
4 2 2 12
direct
0.027 0.921 0.248
0.527 0.579 0.748
0.973 0.079 0.752
0.473 0.421 0.252
0.500 0.000 0.500
0.000 0.500 0.000
0.500 0.000 0.000
0.000 0.500 0.500
0.311 0.700 0.060
0.811 0.800 0.560
0.689 0.300 0.940
0.189 0.200 0.440
0.305 0.694 0.443
0.805 0.806 0.943
0.695 0.306 0.557
0.195 0.194 0.057
0.888 0.535 0.252
0.388 0.965 0.752
0.112 0.465 0.748
0.612 0.035 0.248
```

11.
This record from Alexandria via LeMat-Bulk describes a relaxed SrUPaS6 crystal. The functional is GGA-PBE.

Values from the calculation:
Raw total energy = -6.81 eV per atom

The structure in POSCAR format:
```
SrUPaS6
1.0
6.957 0.000 0.000
-3.479 6.025 0.000
0.000 0.000 12.506
Sr U Pa S
2 2 2 12
direct
0.000 0.000 0.000
0.000 0.000 0.500
0.333 0.667 0.250
0.667 0.333 0.750
0.667 0.333 0.250
0.333 0.667 0.750
0.631 0.634 0.135
0.003 0.369 0.135
0.369 0.003 0.635
0.997 0.631 0.865
0.366 0.369 0.365
0.003 0.634 0.365
0.634 0.003 0.865
0.631 0.997 0.365
0.997 0.366 0.635
0.366 0.997 0.135
0.634 0.631 0.635
0.369 0.366 0.865
```

12.
This record from Alexandria via LeMat-Bulk describes a relaxed SrUPa2S8 crystal. The functional is GGA-PBE.

Values from the calculation:
Raw total energy = -6.94 eV per atom

The structure in POSCAR format:
```
SrUPa2S8
1.0
6.415 0.046 -0.004
0.102 6.239 -0.007
0.006 0.009 8.380
Sr U Pa S
1 1 2 8
direct
0.000 0.000 0.500
0.000 0.000 0.000
0.500 0.500 0.751
0.500 0.500 0.249
0.171 0.758 0.228
0.662 0.719 0.000
0.829 0.242 0.228
0.829 0.242 0.772
0.338 0.281 0.000
0.171 0.758 0.772
0.638 0.713 0.500
0.362 0.287 0.500
```

no.,calculated volume (Å³/cell)
1,414.04
2,249.81
3,584.70
4,411.51
5,384.25
6,531.14
7,344.54
8,263.68
9,311.55
10,521.90
11,524.19
12,335.33